1.
First-principles (GGA-PBE) data for an optimized crystal structure of SnHSe, as listed in Alexandria.

- magnetic moment (μB per atom) = 0.000
- total energy (eV/atom) = -3.63
- space-group type = P4mm
- N(E_F) (states/eV/atom) = 0.196
- crystal system = tetragonal

abc: 3.982 3.982 3.954
angles: 90.00 90.00 90.00
Element x y z (fractional)
Sn1 0.000 0.000 0.000
H1 0.000 0.000 0.510
Se1 0.500 0.500 0.061

***

2.
First-principles (GGA-PBE) data for an optimized crystal structure of TbGaPdPt, as listed in Alexandria.

- magnetic moment (μB per atom) = 0.000
- energy relative to the elements (eV per formula unit) = -3.419
- total energy (eV/atom) = -5.58
- space-group type = F-43m
- N(E_F) (states/eV/atom) = 0.784
- crystal system = cubic

abc: 6.646 6.646 6.646
angles: 90.00 90.00 90.00
Element x y z (fractional)
Tb1 0.000 0.000 0.000
Tb2 0.000 0.500 0.500
Tb3 0.500 0.000 0.500
Tb4 0.500 0.500 0.000
Ga1 0.000 0.000 0.500
Ga2 0.000 0.500 0.000
Ga3 0.500 0.000 0.000
Ga4 0.500 0.500 0.500
Pd1 0.250 0.250 0.750
Pd2 0.250 0.750 0.250
Pd3 0.750 0.250 0.250
Pd4 0.750 0.750 0.750
Pt1 0.250 0.250 0.250
Pt2 0.250 0.750 0.750
Pt3 0.750 0.250 0.750
Pt4 0.750 0.750 0.250

***

3.
First-principles (GGA-PBE) data for an optimized crystal structure of UCdAgAu, as listed in Alexandria.

- magnetic moment (μB per atom) = 0.681
- energy relative to the elements (eV per formula unit) = 0.273
- total energy (eV/atom) = -4.51
- space-group type = F-43m
- N(E_F) (states/eV/atom) = 2.699
- crystal system = cubic

abc: 7.043 7.043 7.043
angles: 90.00 90.00 90.00
Element x y z (fractional)
U1 0.000 0.000 0.000
U2 0.000 0.500 0.500
U3 0.500 0.000 0.500
U4 0.500 0.500 0.000
Cd1 0.000 0.000 0.500
Cd2 0.000 0.500 0.000
Cd3 0.500 0.000 0.000
Cd4 0.500 0.500 0.500
Ag1 0.250 0.250 0.750
Ag2 0.250 0.750 0.250
Ag3 0.750 0.250 0.250
Ag4 0.750 0.750 0.750
Au1 0.250 0.250 0.250
Au2 0.250 0.750 0.750
Au3 0.750 0.250 0.750
Au4 0.750 0.750 0.250

***

4.
First-principles (GGA-PBE) data for an optimized crystal structure of SrAgAs3, as listed in Alexandria.

- magnetic moment (μB per atom) = 0.000
- ΔE to the lowest computed polymorph (kJ/mol of formula units) = 478
- energy relative to the elements (eV per formula unit) = 5.333
- total energy (eV/atom) = -2.63
- space-group type = Pm-3m
- N(E_F) (states/eV/atom) = 0.479
- crystal system = cubic

abc: 5.632 5.632 5.632
angles: 90.00 90.00 90.00
Element x y z (fractional)
Sr1 0.000 0.000 0.000
Ag1 0.500 0.500 0.500
As1 0.000 0.000 0.500
As2 0.000 0.500 0.000
As3 0.500 0.000 0.000